# GGA-PBE BeCuSb4, relaxed
data_BeCuSb4
_cell_length_a 8.645
_cell_length_b 8.645
_cell_length_c 8.645
_cell_angle_alpha 90.00
_cell_angle_beta 90.00
_cell_angle_gamma 90.00
_space_group_name_H-M_alt 'F -4 3 m'
_space_group_IT_number 216
_space_group_name_Hall 'F -4 2 3'
loop_
_atom_site_label
_atom_site_type_symbol
_atom_site_fract_x
_atom_site_fract_y
_atom_site_fract_z
Be1 Be 0.000 0.000 0.000
Cu1 Cu 0.250 0.250 0.750
Sb1 Sb 0.125 0.125 0.375
# N(E_F) ... 0.74 states/eV/atom
# ΔE_f (raw) ... 930 meV/atom

# GGA-PBE Be2CuSb, relaxed
data_Be2CuSb
_cell_length_a 7.560
_cell_length_b 3.812
_cell_length_c 4.110
_cell_angle_alpha 90.00
_cell_angle_beta 97.72
_cell_angle_gamma 90.00
_space_group_name_H-M_alt 'C 1 2/m 1'
_space_group_IT_number 12
_space_group_name_Hall '-C 2y'
loop_
_atom_site_label
_atom_site_type_symbol
_atom_site_fract_x
_atom_site_fract_y
_atom_site_fract_z
Be1 Be 0.205 0.000 0.086
Cu1 Cu 0.000 0.500 0.000
Sb1 Sb 0.000 0.000 0.500
# N(E_F) ... 0.30 states/eV/atom
# ΔE_f (raw) ... 270 meV/atom

# GGA-PBE BeCuSb, relaxed
data_BeCuSb
_cell_length_a 3.8284
_cell_length_b 3.8284
_cell_length_c 8.0537
_cell_angle_alpha 90.00
_cell_angle_beta 90.00
_cell_angle_gamma 120.00
_space_group_name_H-M_alt 'P 3 m 1'
_space_group_IT_number 156
_space_group_name_Hall 'P 3 -2"'
loop_
_atom_site_label
_atom_site_type_symbol
_atom_site_fract_x
_atom_site_fract_y
_atom_site_fract_z
Be1 Be 0.0000 0.0000 0.0000
Be2 Be 0.3333 0.6667 0.1260
Cu1 Cu 0.0000 0.0000 0.2835
Cu2 Cu 0.6667 0.3333 0.1384
Sb1 Sb 0.3333 0.6667 0.4618
Sb2 Sb 0.6667 0.3333 0.8195
# N(E_F) ... 0.13 states/eV/atom
# ΔE_f (raw) ... 110 meV/atom

What did the third record say?
# GGA-PBE BeCuSb, relaxed
data_BeCuSb
_cell_length_a 3.8284
_cell_length_b 3.8284
_cell_length_c 8.0537
_cell_angle_alpha 90.00
_cell_angle_beta 90.00
_cell_angle_gamma 120.00
_space_group_name_H-M_alt 'P 3 m 1'
_space_group_IT_number 156
_space_group_name_Hall 'P 3 -2"'
loop_
_atom_site_label
_atom_site_type_symbol
_atom_site_fract_x
_atom_site_fract_y
_atom_site_fract_z
Be1 Be 0.0000 0.0000 0.0000
Be2 Be 0.3333 0.6667 0.1260
Cu1 Cu 0.0000 0.0000 0.2835
Cu2 Cu 0.6667 0.3333 0.1384
Sb1 Sb 0.3333 0.6667 0.4618
Sb2 Sb 0.6667 0.3333 0.8195
# N(E_F) ... 0.13 states/eV/atom
# ΔE_f (raw) ... 110 meV/atom

- Which of these has the highest N(E_F)?
  BeCuSb4

- Which of these has the highest ΔE_f (raw)?
  BeCuSb4